Version i
7
Lattice="4.079 0.000 1.235 1.673 6.583 1.828 -0.274 0.434 8.258" Properties=species:S:1:pos:R:3 comment="La4Hg2P | Alexandria via LeMat-Bulk | PBE | optimized geometry" magmom_total_mub_per_cell=0.0 sg="No. 12" pbc="T T T"
La 0.498 1.552 5.708
La 4.979 5.465 5.613
La 1.775 1.717 1.489
La 3.702 5.300 9.832
Hg 2.308 4.124 7.084
Hg 3.170 2.894 4.237
P 0.000 0.000 0.000

Version ii
7
Lattice="-2.293 4.670 -2.116 -1.415 -2.805 -4.656 -8.615 -0.944 -0.200" Properties=species:S:1:pos:R:3 comment="La4Hg2P | Alexandria via LeMat-Bulk | PBE | optimized geometry" magmom_total_mub_per_cell=0.0 sg="No. 139" pbc="T T T"
P 0.000 0.000 0.000
Hg -8.921 0.418 -4.316
Hg -3.403 0.503 -2.656
La -6.215 1.170 -5.591
La -6.110 -0.248 -1.381
La -0.708 -1.403 -2.328
La -1.147 2.335 -1.058

Quick look at relative energies in kJ/mol of atoms: version i 0.0; version ii 10.4.